1.
Density functional theory data (GGA-PBEsol) for a relaxed structure of BaAg2Hg2. Values from VASP.

Summary:
Spin magnetization: 0.0 μB/f.u.
Energy: -22.41 eV/cell
ΔE_f: -0.26 eV/atom
Fermi-level density of states: 2.08 states/eV/f.u.

```
&SYSTEM
  ibrav = 0, nat = 10, ntyp = 3
/
ATOMIC_SPECIES
Ba 137.33 Ba.upf
Ag 107.87 Ag.upf
Hg 200.59 Hg.upf
CELL_PARAMETERS angstrom
5.031 0.000 0.000
0.000 5.031 0.000
0.000 0.000 10.276
ATOMIC_POSITIONS crystal
Ba 0.000 0.000 0.000
Ba 0.500 0.500 0.500
Ag 0.000 0.500 0.250
Ag 0.000 0.500 0.750
Ag 0.500 0.000 0.250
Ag 0.500 0.000 0.750
Hg 0.000 0.000 0.363
Hg 0.000 0.000 0.637
Hg 0.500 0.500 0.137
Hg 0.500 0.500 0.863
```

2.
Density functional theory data (GGA-PBEsol) for a relaxed structure of BaAgHg. Values from VASP.

Summary:
Spin magnetization: 0.0 μB/f.u.
Energy: -7.20 eV/cell
ΔE_f: -0.39 eV/atom
Fermi-level density of states: 2.30 states/eV/f.u.

```
&SYSTEM
  ibrav = 0, nat = 3, ntyp = 3
/
ATOMIC_SPECIES
Ba 137.33 Ba.upf
Ag 107.87 Ag.upf
Hg 200.59 Hg.upf
CELL_PARAMETERS angstrom
4.924 0.000 0.000
-2.462 4.264 0.000
0.000 0.000 4.191
ATOMIC_POSITIONS crystal
Ba 0.000 0.000 0.000
Ag 0.667 0.333 0.500
Hg 0.333 0.667 0.500
```

3.
Density functional theory data (GGA-PBEsol) for a relaxed structure of BaAgHg2. Values from VASP.

Summary:
Spin magnetization: 0.0 μB/f.u.
Energy: -15.43 eV/cell
ΔE_f: -0.28 eV/atom
Fermi-level density of states: 2.38 states/eV/f.u.

```
&SYSTEM
  ibrav = 0, nat = 8, ntyp = 3
/
ATOMIC_SPECIES
Ba 137.33 Ba.upf
Ag 107.87 Ag.upf
Hg 200.59 Hg.upf
CELL_PARAMETERS angstrom
5.037 0.000 0.000
0.000 5.037 0.000
0.000 0.000 8.337
ATOMIC_POSITIONS crystal
Ba 0.000 0.000 0.000
Ba 0.500 0.500 0.500
Ag 0.000 0.000 0.500
Ag 0.500 0.500 0.000
Hg 0.000 0.500 0.250
Hg 0.000 0.500 0.750
Hg 0.500 0.000 0.250
Hg 0.500 0.000 0.750
```